VASP calculation (PBE-GGA) on crystalline Pm2MgSn at its relaxed geometry.

Cell lengths 5.418, 5.418, 5.418 Å; angles 60.00, 60.00, 60.00 degrees
Fractional positions:
Pm1 0.250 0.250 0.250
Pm2 0.750 0.750 0.750
Mg1 0.000 0.000 0.000
Sn1 0.500 0.500 0.500

Calculated values
Polymorph energy (0 for the lowest one)   24 meV per atom
Space group   Fm-3m (225)

VASP calculation (PBE-GGA) on crystalline PmMg2Sn at its relaxed geometry.

Cell lengths 5.186, 5.186, 5.353 Å; angles 120.46, 120.46, 61.96 degrees
Fractional positions:
Pm1 0.000 0.000 0.000
Mg1 0.250 0.250 0.747
Mg2 0.500 0.500 0.500
Sn1 0.751 0.751 0.255

Calculated values
Polymorph energy (0 for the lowest one)   209 meV per atom
Space group   Cm (8)

VASP calculation (PBE-GGA) on crystalline Pm2MgSn2 at its relaxed geometry.

Cell lengths 7.814, 7.814, 4.611 Å; angles 90.00, 90.00, 90.00 degrees
Fractional positions:
Pm1 0.175 0.325 0.000
Pm2 0.325 0.825 0.000
Pm3 0.675 0.175 0.000
Pm4 0.825 0.675 0.000
Mg1 0.000 0.000 0.500
Mg2 0.500 0.500 0.500
Sn1 0.130 0.630 0.500
Sn2 0.370 0.130 0.500
Sn3 0.630 0.870 0.500
Sn4 0.870 0.370 0.500

Calculated values
Raw total energy   -44.936 eV/cell
Space group   P4/mbm (127)

VASP calculation (PBE-GGA) on crystalline Pm5Mg2Sn12 at its relaxed geometry.

Cell lengths 8.771, 8.771, 11.109 Å; angles 102.65, 102.65, 43.06 degrees
Fractional positions:
Pm1 0.000 0.000 0.000
Pm2 0.314 0.314 0.320
Pm3 0.319 0.319 0.828
Pm4 0.681 0.681 0.172
Pm5 0.686 0.686 0.680
Mg1 0.260 0.740 0.500
Mg2 0.740 0.260 0.500
Sn1 0.077 0.602 0.593
Sn2 0.084 0.605 0.076
Sn3 0.128 0.128 0.664
Sn4 0.395 0.916 0.924
Sn5 0.398 0.923 0.407
Sn6 0.500 0.500 0.243
Sn7 0.500 0.500 0.757
Sn8 0.602 0.077 0.593
Sn9 0.605 0.084 0.076
Sn10 0.872 0.872 0.336
Sn11 0.916 0.395 0.924
Sn12 0.923 0.398 0.407

Calculated values
Raw total energy   -80.885 eV/cell
Space group   C2/m (12)

VASP calculation (PBE-GGA) on crystalline PmMgSn3 at its relaxed geometry.

Cell lengths 13.244, 6.272, 6.355 Å; angles 90.00, 90.00, 90.00 degrees
Fractional positions:
Pm1 0.189 0.003 0.250
Pm2 0.189 0.497 0.750
Pm3 0.811 0.503 0.250
Pm4 0.811 0.997 0.750
Mg1 0.389 0.250 0.000
Mg2 0.389 0.250 0.500
Mg3 0.611 0.750 0.000
Mg4 0.611 0.750 0.500
Sn1 0.000 0.250 0.000
Sn2 0.000 0.250 0.500
Sn3 0.000 0.750 0.000
Sn4 0.000 0.750 0.500
Sn5 0.233 0.505 0.250
Sn6 0.233 0.995 0.750
Sn7 0.418 0.699 0.750
Sn8 0.418 0.801 0.250
Sn9 0.582 0.199 0.750
Sn10 0.582 0.301 0.250
Sn11 0.767 0.005 0.250
Sn12 0.767 0.495 0.750

Calculated values
Polymorph energy (0 for the lowest one)   0 meV per atom
Space group   Pbcm (57)

VASP calculation (PBE-GGA) on crystalline PmMgSn2 at its relaxed geometry.

Cell lengths 4.786, 4.786, 4.476 Å; angles 90.00, 90.00, 90.00 degrees
Fractional positions:
Pm1 0.000 0.000 0.000
Mg1 0.500 0.500 0.000
Sn1 0.000 0.500 0.500
Sn2 0.500 0.000 0.500

Calculated values
Raw total energy   -16.486 eV/cell
Space group   P4/mmm (123)

VASP calculation (PBE-GGA) on crystalline Pm2MgSn3 at its relaxed geometry.

Cell lengths 4.451, 4.451, 8.370 Å; angles 90.00, 90.00, 90.00 degrees
Fractional positions:
Pm1 0.000 0.500 0.173
Pm2 0.500 0.000 0.827
Mg1 0.000 0.000 0.500
Sn1 0.000 0.500 0.790
Sn2 0.500 0.000 0.210
Sn3 0.500 0.500 0.500

Calculated values
Raw total energy   -26.163 eV/cell
Space group   P-4m2 (115)

VASP calculation (PBE-GGA) on crystalline Pm2Mg4Sn5 at its relaxed geometry.

Cell lengths 16.968, 16.968, 16.968 Å; angles 16.05, 16.05, 16.05 degrees
Fractional positions:
Pm1 0.133 0.133 0.133
Pm2 0.867 0.867 0.867
Mg1 0.290 0.290 0.290
Mg2 0.416 0.416 0.416
Mg3 0.584 0.584 0.584
Mg4 0.710 0.710 0.710
Sn1 0.234 0.234 0.234
Sn2 0.349 0.349 0.349
Sn3 0.500 0.500 0.500
Sn4 0.651 0.651 0.651
Sn5 0.766 0.766 0.766

Calculated values
Raw total energy   -39.000 eV/cell
Space group   R-3m (166)

VASP calculation (PBE-GGA) on crystalline PmMg6Sn6 at its relaxed geometry.

Cell lengths 6.260, 6.260, 9.424 Å; angles 90.00, 90.00, 120.00 degrees
Fractional positions:
Pm1 0.000 0.000 0.000
Mg1 0.000 0.500 0.244
Mg2 0.000 0.500 0.756
Mg3 0.500 0.000 0.244
Mg4 0.500 0.000 0.756
Mg5 0.500 0.500 0.244
Mg6 0.500 0.500 0.756
Sn1 0.000 0.000 0.342
Sn2 0.000 0.000 0.658
Sn3 0.333 0.667 0.000
Sn4 0.333 0.667 0.500
Sn5 0.667 0.333 0.000
Sn6 0.667 0.333 0.500

Calculated values
Polymorph energy (0 for the lowest one)   10 meV per atom
Space group   P6/mmm (191)

VASP calculation (PBE-GGA) on crystalline PmMgSn3 at its relaxed geometry.

Cell lengths 5.004, 6.420, 9.011 Å; angles 90.00, 90.00, 90.00 degrees
Fractional positions:
Pm1 0.250 0.250 0.078
Pm2 0.750 0.750 0.922
Mg1 0.250 0.750 0.466
Mg2 0.750 0.250 0.534
Sn1 0.250 0.010 0.733
Sn2 0.250 0.490 0.733
Sn3 0.250 0.750 0.147
Sn4 0.750 0.250 0.853
Sn5 0.750 0.510 0.267
Sn6 0.750 0.990 0.267

Calculated values
Polymorph energy (0 for the lowest one)   131 meV per atom
Space group   Pmmn (59)

VASP calculation (PBE-GGA) on crystalline Pm2Mg2Sn at its relaxed geometry.

Cell lengths 10.083, 10.083, 10.083 Å; angles 157.56, 157.56, 31.94 degrees
Fractional positions:
Pm1 0.097 0.097 0.000
Pm2 0.903 0.903 0.000
Mg1 0.250 0.750 0.500
Mg2 0.750 0.250 0.500
Sn1 0.500 0.500 0.000

Calculated values
Raw total energy   -17.097 eV/cell
Space group   I4/mmm (139)

VASP calculation (PBE-GGA) on crystalline PmMgSn at its relaxed geometry.

Cell lengths 4.956, 4.956, 7.340 Å; angles 90.00, 90.00, 120.00 degrees
Fractional positions:
Pm1 0.000 0.000 0.000
Pm2 0.000 0.000 0.500
Mg1 0.333 0.667 0.250
Mg2 0.667 0.333 0.750
Sn1 0.333 0.667 0.750
Sn2 0.667 0.333 0.250

Calculated values
Polymorph energy (0 for the lowest one)   0 meV per atom
Space group   P6_3/mmc (194)